Cu5Ag4, optimized geometry, DFT PBE; space-group type = C2/m; VASP energy = -28.99 eV per cell; calculated formation energy = 0.099 eV per atom; energy relative to the lowest polymorph listed for this composition = 58 meV per atom
1.0
7.0905 -1.4072 0.0000
7.0905 1.4072 0.0000
-4.5036 0.0000 6.6130
Ag Cu
4 5
Direct
0.3788 0.3788 0.8086 Ag
0.6212 0.6212 0.1914 Ag
0.9385 0.9385 0.1705 Ag
0.0615 0.0615 0.8295 Ag
0.2784 0.2784 0.1694 Cu
0.8402 0.8402 0.4844 Cu
0.1598 0.1598 0.5156 Cu
0.5000 0.5000 0.5000 Cu
0.7216 0.7216 0.8306 Cu



ErAgPbS3, optimized geometry, DFT PBE; space-group type = C2/m; VASP energy = -59.48 eV per cell; total magnetization = 0.00 μB/cell; energy relative to the lowest polymorph listed for this composition = 0 meV per atom
1.0
8.6352 -1.9659 0.0000
8.6352 1.9659 0.0000
-1.9678 0.0000 8.1671
S Pb Er Ag
6 2 2 2
Direct
0.3197 0.3197 0.6850 S
0.5000 0.5000 0.5000 S
0.0000 0.0000 0.0000 S
0.6803 0.6803 0.3150 S
0.6732 0.6732 0.8623 S
0.3268 0.3268 0.1377 S
0.1347 0.1347 0.5710 Pb
0.8653 0.8653 0.4290 Pb
0.1638 0.1638 0.0849 Er
0.8362 0.8362 0.9151 Er
0.5210 0.5210 0.2122 Ag
0.4790 0.4790 0.7878 Ag



NaNdIn, optimized geometry, DFT PBE; space-group type = F-43m; VASP energy = -8.72 eV per cell; total magnetization = 0.01 μB/cell
1.0
0.0000 3.7008 3.7008
3.7008 0.0000 3.7008
3.7008 3.7008 0.0000
Nd In Na
1 1 1
Direct
0.7500 0.7500 0.7500 Nd
0.0000 0.0000 0.0000 In
0.2500 0.2500 0.2500 Na



YSiTc2, optimized geometry, DFT PBE; space-group type = F-43m; VASP energy = -32.25 eV per cell; total magnetization = 0.00 μB/cell
1.0
-1.1903 2.8779 3.3309
-1.8394 4.0436 -1.0296
-4.4073 0.7870 0.8665
Y Tc Si
1 2 1
Direct
0.2500 0.2500 0.2500 Y
0.7500 0.7500 0.7500 Tc
0.0000 0.0000 0.0000 Tc
0.5000 0.5000 0.5000 Si



TbHoGe, optimized geometry, DFT PBE; space-group type = Cmcm; VASP energy = -29.37 eV per cell; total magnetization = 0.02 μB/cell; energy relative to the lowest polymorph listed for this composition = 240 meV per atom
1.0
1.9544 -10.9238 0.0000
1.9544 10.9238 0.0000
0.0000 0.0000 4.2368
Ge Tb Ho
2 2 2
Direct
0.1849 0.8151 0.7500 Ge
0.8151 0.1849 0.2500 Ge
0.3209 0.6791 0.7500 Tb
0.6791 0.3209 0.2500 Tb
0.9394 0.0606 0.2500 Ho
0.0606 0.9394 0.7500 Ho



Nd3Mg3In2Pt, optimized geometry, DFT PBE; space-group type = P-62m; VASP energy = -35.51 eV per cell; total magnetization = 0.02 μB/cell
1.0
-7.4818 -1.0620 -1.1551
5.0248 -5.2087 -2.4615
-0.3107 -2.2115 4.0455
Nd In Pt Mg
3 2 1 3
Direct
0.3973 0.3973 0.0000 Nd
0.6027 0.0000 0.0000 Nd
0.0000 0.6027 0.0000 Nd
0.3333 0.6667 0.5000 In
0.6667 0.3333 0.5000 In
0.0000 0.0000 0.0000 Pt
0.7702 0.7702 0.5000 Mg
0.2298 0.0000 0.5000 Mg
0.0000 0.2298 0.5000 Mg



Dy2ErTm3Bi2Os, optimized geometry, DFT PBE; space-group type = Amm2; VASP energy = -51.22 eV per cell; total magnetization = 0.02 μB/cell
1.0
4.2155 0.0000 0.0000
0.0000 7.1282 4.1311
0.0000 -7.1282 4.1311
Er Bi Tm Os Dy
1 2 3 1 2
Direct
0.5000 0.7648 0.7648 Er
0.5000 0.6666 0.3348 Bi
0.5000 0.3348 0.6666 Bi
0.0000 0.6164 0.9999 Tm
0.0000 0.3854 0.3854 Tm
0.0000 0.9999 0.6164 Tm
0.0000 0.9964 0.9964 Os
0.5000 0.0002 0.2353 Dy
0.5000 0.2353 0.0002 Dy



Ba2AlAu, optimized geometry, DFT PBE; space-group type = F-43m; VASP energy = -11.56 eV per cell
1.0
0.0000 3.8952 3.8952
3.8952 0.0000 3.8952
3.8952 3.8952 0.0000
Ba Au Al
2 1 1
Direct
0.0000 0.0000 0.0000 Ba
0.7500 0.7500 0.7500 Ba
0.2500 0.2500 0.2500 Au
0.5000 0.5000 0.5000 Al



SmAlFe, optimized geometry, DFT PBE; space-group type = F-43m; VASP energy = -16.30 eV per cell; total magnetization = 0.02 μB/cell
1.0
0.0000 3.1373 3.1373
3.1373 0.0000 3.1373
3.1373 3.1373 0.0000
Al Sm Fe
1 1 1
Direct
0.2500 0.2500 0.2500 Al
0.7500 0.7500 0.7500 Sm
0.0000 0.0000 0.0000 Fe



Pm4AsI5, optimized geometry, DFT PBE; space-group type = C2/m; VASP energy = -44.91 eV per cell; total magnetization = 0.02 μB/cell
1.0
9.7156 -2.1349 0.0000
9.7156 2.1349 0.0000
-1.9767 0.0000 8.7701
Pm As I
4 1 5
Direct
0.0005 0.0005 0.7872 Pm
0.3527 0.3527 0.9266 Pm
0.9995 0.9995 0.2128 Pm
0.6473 0.6473 0.0734 Pm
0.5000 0.5000 0.0000 As
0.1713 0.1713 0.8243 I
0.8340 0.8340 0.6618 I
0.5000 0.5000 0.5000 I
0.1660 0.1660 0.3382 I
0.8287 0.8287 0.1757 I



Ni2BPd, optimized geometry, DFT PBE; space-group type = F-43m; VASP energy = -21.95 eV per cell; total magnetization = 0.00 μB/cell
1.0
2.0677 -2.6943 1.9893
-1.8499 -2.5627 2.3456
-0.2201 -3.7956 -1.0182
Pd B Ni
1 1 2
Direct
0.2500 0.2500 0.2500 Pd
0.5000 0.5000 0.5000 B
0.0000 0.0000 0.0000 Ni
0.7500 0.7500 0.7500 Ni



LiPmCd, optimized geometry, DFT PBE; space-group type = F-43m; VASP energy = -6.45 eV per cell; total magnetization = 0.01 μB/cell
1.0
-1.4888 3.7132 2.9745
1.5361 4.6616 -0.8729
-3.2196 3.4099 -1.6907
Li Cd Pm
1 1 1
Direct
0.7500 0.7500 0.7500 Li
0.2500 0.2500 0.2500 Cd
0.0000 0.0000 0.0000 Pm